Entry 1:
Cu2HgSb2: relaxed, GGA-PBE.

Unit cell a=4.339 b=4.339 c=12.041 alpha=90.00 beta=90.00 gamma=90.00
Space group I4/mmm (No. 139)
Inequivalent atoms, fractional coordinates:
Cu (0.000, 0.500, 0.250) [4 per cell]
Hg (0.000, 0.000, 0.000) [2 per cell]
Sb (0.000, 0.000, 0.374) [4 per cell]

Fermi-level density of states	5.13	states/eV per cell
VASP energy	-3.159	eV/atom
V	227	Å³/cell
total magnetization	0.00	μB per cell
energy above the lowest structure with this stoichiometry	0	meV/atom
formation energy from raw total energies	0.945	eV per formula unit


Entry 2:
Cu2HgSb2: relaxed, GGA-PBE.

Unit cell a=4.915 b=4.915 c=9.456 alpha=90.00 beta=90.00 gamma=90.00
Space group I4/mmm (No. 139)
Inequivalent atoms, fractional coordinates:
Cu (0.000, 0.000, 0.135) [4 per cell]
Hg (0.000, 0.000, 0.500) [2 per cell]
Sb (0.000, 0.500, 0.250) [4 per cell]

Fermi-level density of states	5.97	states/eV per cell
VASP energy	-3.053	eV/atom
V	228	Å³/cell
total magnetization	0.00	μB per cell
energy above the lowest structure with this stoichiometry	106	meV/atom
formation energy from raw total energies	1.474	eV per formula unit


total magnetization of number 2 (Cu2HgSb2)? 0.00 μB per cell